PBE-GGA Cr2Br, optimized geometry; uncorrected energy = -41.6 eV/cell; SG = Cmcm
1.0
1.728 -9.182 0.000
1.728 9.182 0.000
0.000 0.000 3.899
Cr Br
4 2
Direct
0.049 0.951 0.750
0.444 0.556 0.750
0.556 0.444 0.250
0.951 0.049 0.250
0.345 0.655 0.250
0.655 0.345 0.750

=====

PBE-GGA CrBr2, optimized geometry; uncorrected energy = -27.0 eV/cell; SG = I4/mcm
1.0
-3.267 3.267 3.290
3.267 -3.267 3.290
3.267 3.267 -3.290
Cr Br
2 4
Direct
0.250 0.250 0.000
0.750 0.750 0.000
0.195 0.695 0.889
0.305 0.195 0.500
0.695 0.805 0.500
0.805 0.305 0.111

=====

PBE-GGA Cr2Br, optimized geometry; uncorrected energy = -18.6 eV/cell; SG = I4/mmm
1.0
-1.485 1.485 5.045
1.485 -1.485 5.045
1.485 1.485 -5.045
Cr Br
2 1
Direct
0.190 0.190 0.000
0.810 0.810 0.000
0.500 0.500 0.000

=====

PBE-GGA Cr2Br, optimized geometry; uncorrected energy = -34.5 eV/cell; SG = Fd-3m
1.0
0.000 3.555 3.555
3.555 0.000 3.555
3.555 3.555 0.000
Cr Br
4 2
Direct
0.000 0.000 0.000
0.000 0.000 0.500
0.000 0.500 0.000
0.500 0.000 0.000
0.375 0.375 0.375
0.625 0.625 0.625

=====

PBE-GGA CrBr2, optimized geometry; uncorrected energy = -29.6 eV/cell; SG = Cmcm
1.0
1.819 -8.330 0.000
1.819 8.330 0.000
0.000 0.000 6.590
Cr Br
2 4
Direct
0.187 0.813 0.750
0.813 0.187 0.250
0.206 0.794 0.250
0.416 0.584 0.250
0.584 0.416 0.750
0.794 0.206 0.750

=====

PBE-GGA CrBr2, optimized geometry; uncorrected energy = -11.2 eV/cell; SG = P6/mmm
1.0
5.108 0.000 0.000
-2.554 4.424 0.000
0.000 0.000 3.465
Cr Br
1 2
Direct
0.000 0.000 0.000
0.333 0.667 0.500
0.667 0.333 0.500